(1)
# Tm2ScPb, relaxed, DFT PBE
data_Tm2ScPb
_chemical_formula_sum 'Tm4 Sc2 Pb2'
_symmetry_space_group_name_H-M 'P 1 21/m 1'
_symmetry_Int_Tables_number 11
_cell_length_a 6.539
_cell_length_b 5.178
_cell_length_c 6.541
_cell_angle_alpha 90.00
_cell_angle_beta 99.93
_cell_angle_gamma 90.00
loop_
_symmetry_equiv_pos_as_xyz
'x,y,z'
'-x,-y,-z'
'-x,y+1/2,-z'
'x,-y+1/2,z'
loop_
_atom_site_label
_atom_site_type_symbol
_atom_site_fract_x
_atom_site_fract_y
_atom_site_fract_z
Tm1 Tm 0.144 0.250 0.227
Tm2 Tm 0.350 0.750 0.568
Sc1 Sc 0.410 0.750 0.081
Pb1 Pb 0.126 0.250 0.743
# Final energy ... -4.9946 eV per atom
# Magnetization ... 0.00 μB per formula unit
# Crystal system ... monoclinic
# ΔE_f ... -0.249 eV per atom

(2)
# K2VBiS4, relaxed, DFT PBE
data_K2VBiS4
_chemical_formula_sum 'K4 V2 Bi2 S8'
_symmetry_space_group_name_H-M 'I -4'
_symmetry_Int_Tables_number 82
_cell_length_a 7.746
_cell_length_b 7.746
_cell_length_c 7.794
_cell_angle_alpha 90.00
_cell_angle_beta 90.00
_cell_angle_gamma 90.00
loop_
_symmetry_equiv_pos_as_xyz
'x,y,z'
'y,-x,-z'
'-x,-y,z'
'-y,x,-z'
'x+1/2,y+1/2,z+1/2'
'y+1/2,-x+1/2,-z+1/2'
'-x+1/2,-y+1/2,z+1/2'
'-y+1/2,x+1/2,-z+1/2'
loop_
_atom_site_label
_atom_site_type_symbol
_atom_site_fract_x
_atom_site_fract_y
_atom_site_fract_z
K1 K 0.000 0.000 0.000
K2 K 0.000 0.500 0.250
V1 V 0.000 0.500 0.750
Bi1 Bi 0.000 0.000 0.500
S1 S 0.150 0.314 0.600
# Final energy ... -4.7906 eV per atom
# Magnetization ... 0.16 μB per formula unit
# Crystal system ... tetragonal

(3)
# TiZnPt, relaxed, DFT PBE
data_TiZnPt
_chemical_formula_sum 'Ti2 Zn2 Pt2'
_symmetry_space_group_name_H-M 'P 63/m m c'
_symmetry_Int_Tables_number 194
_symmetry_space_group_name_Hall '-P 6c 2c'
_cell_length_a 4.4430
_cell_length_b 4.4430
_cell_length_c 5.3049
_cell_angle_alpha 90.00
_cell_angle_beta 90.00
_cell_angle_gamma 120.00
loop_
_atom_site_label
_atom_site_type_symbol
_atom_site_fract_x
_atom_site_fract_y
_atom_site_fract_z
Ti1 Ti 0.0000 0.0000 0.0000
Zn1 Zn 0.3333 0.6667 0.2500
Pt1 Pt 0.3333 0.6667 0.7500
# Final energy ... -5.7538 eV per atom
# Magnetization ... 0.02 μB per formula unit
# Crystal system ... hexagonal
# ΔE_f ... -0.684 eV per atom

(4)
# Tb4SnRu2, relaxed, DFT PBE
data_Tb4SnRu2
_chemical_formula_sum 'Tb8 Sn2 Ru4'
_symmetry_space_group_name_H-M 'P 1'
_symmetry_Int_Tables_number 1
_cell_length_a 7.035
_cell_length_b 7.171
_cell_length_c 7.809
_cell_angle_alpha 107.58
_cell_angle_beta 104.83
_cell_angle_gamma 103.67
loop_
_symmetry_equiv_pos_as_xyz
'x,y,z'
loop_
_atom_site_label
_atom_site_type_symbol
_atom_site_fract_x
_atom_site_fract_y
_atom_site_fract_z
Tb1 Tb 0.000 0.000 0.000
Tb2 Tb 0.029 0.596 0.199
Tb3 Tb 0.255 0.358 0.824
Tb4 Tb 0.360 0.105 0.431
Tb5 Tb 0.454 0.725 0.675
Tb6 Tb 0.590 0.143 0.098
Tb7 Tb 0.841 0.987 0.437
Tb8 Tb 0.893 0.559 0.610
Sn1 Sn 0.488 0.548 0.267
Sn2 Sn 0.741 0.258 0.800
Ru1 Ru 0.093 0.333 0.396
Ru2 Ru 0.192 0.943 0.698
Ru3 Ru 0.329 0.793 0.066
Ru4 Ru 0.676 0.648 0.977
# Final energy ... -6.2609 eV per atom
# Magnetization ... 0.00 μB per formula unit
# Crystal system ... triclinic
# ΔE_f ... -0.393 eV per atom

(5)
# Al2BMoOs, relaxed, DFT PBE
data_Al2BMoOs
_chemical_formula_sum 'Al2 B1 Mo1 Os1'
_symmetry_space_group_name_H-M 'P 4/m m m'
_symmetry_Int_Tables_number 123
_symmetry_space_group_name_Hall '-P 4 2'
_cell_length_a 4.684
_cell_length_b 4.684
_cell_length_c 4.029
_cell_angle_alpha 90.00
_cell_angle_beta 90.00
_cell_angle_gamma 90.00
loop_
_atom_site_label
_atom_site_type_symbol
_atom_site_fract_x
_atom_site_fract_y
_atom_site_fract_z
Al1 Al 0.000 0.500 0.000
B1 B 0.000 0.000 0.500
Mo1 Mo 0.500 0.500 0.500
Os1 Os 0.000 0.000 0.000
# Final energy ... -6.3571 eV per atom
# Magnetization ... 3.18 μB per formula unit
# Crystal system ... tetragonal
# ΔE_f ... 0.888 eV per atom

(6)
# Ac3TePt, relaxed, DFT PBE
data_Ac3TePt
_chemical_formula_sum 'Ac3 Te1 Pt1'
_symmetry_space_group_name_H-M 'P m -3 m'
_symmetry_Int_Tables_number 221
_symmetry_space_group_name_Hall '-P 4 2 3'
_cell_length_a 5.913
_cell_length_b 5.913
_cell_length_c 5.913
_cell_angle_alpha 90.00
_cell_angle_beta 90.00
_cell_angle_gamma 90.00
loop_
_atom_site_label
_atom_site_type_symbol
_atom_site_fract_x
_atom_site_fract_y
_atom_site_fract_z
Ac1 Ac 0.000 0.000 0.500
Te1 Te 0.500 0.500 0.500
Pt1 Pt 0.000 0.000 0.000
# Final energy ... -5.0320 eV per atom
# Magnetization ... 0.00 μB per formula unit
# Crystal system ... cubic

(7)
# Pr5Ag2Ge2, relaxed, DFT PBE
data_Pr5Ag2Ge2
_chemical_formula_sum 'Pr20 Ag8 Ge8'
_symmetry_space_group_name_H-M 'C m c e'
_symmetry_Int_Tables_number 64
_symmetry_space_group_name_Hall '-C 2ac 2'
_cell_length_a 16.163
_cell_length_b 7.976
_cell_length_c 7.926
_cell_angle_alpha 90.00
_cell_angle_beta 90.00
_cell_angle_gamma 90.00
loop_
_atom_site_label
_atom_site_type_symbol
_atom_site_fract_x
_atom_site_fract_y
_atom_site_fract_z
Pr1 Pr 0.000 0.000 0.000
Pr2 Pr 0.132 0.179 0.326
Ag1 Ag 0.212 0.000 0.000
Ge1 Ge 0.000 0.122 0.623
# Final energy ... -4.7865 eV per atom
# Magnetization ... 0.00 μB per formula unit
# Crystal system ... orthorhombic
# ΔE_f ... -0.472 eV per atom

(8)
# ZrAl2Ru2, relaxed, DFT PBE
data_ZrAl2Ru2
_chemical_formula_sum 'Zr2 Al4 Ru4'
_symmetry_space_group_name_H-M 'I 4/m m m'
_symmetry_Int_Tables_number 139
_symmetry_space_group_name_Hall '-I 4 2'
_cell_length_a 4.370
_cell_length_b 4.370
_cell_length_c 8.911
_cell_angle_alpha 90.00
_cell_angle_beta 90.00
_cell_angle_gamma 90.00
loop_
_atom_site_label
_atom_site_type_symbol
_atom_site_fract_x
_atom_site_fract_y
_atom_site_fract_z
Zr1 Zr 0.000 0.000 0.000
Al1 Al 0.000 0.000 0.360
Ru1 Ru 0.000 0.500 0.250
# Final energy ... -7.2436 eV per atom
# Magnetization ... 0.00 μB per formula unit
# Crystal system ... tetragonal
# ΔE_f ... -0.327 eV per atom

(9)
# La2ZnAs, relaxed, DFT PBE
data_La2ZnAs
_chemical_formula_sum 'La4 Zn2 As2'
_symmetry_space_group_name_H-M 'A m m 2'
_symmetry_Int_Tables_number 38
_cell_length_a 4.249
_cell_length_b 4.420
_cell_length_c 11.501
_cell_angle_alpha 90.00
_cell_angle_beta 90.00
_cell_angle_gamma 90.00
loop_
_symmetry_equiv_pos_as_xyz
'x,y,z'
'-x,-y,z'
'-x,y,z'
'x,-y,z'
'x,y+1/2,z+1/2'
'-x,-y+1/2,z+1/2'
'-x,y+1/2,z+1/2'
'x,-y+1/2,z+1/2'
loop_
_atom_site_label
_atom_site_type_symbol
_atom_site_fract_x
_atom_site_fract_y
_atom_site_fract_z
La1 La 0.000 0.000 0.000
La2 La 0.500 0.000 0.284
Zn1 Zn 0.000 0.000 0.717
As1 As 0.500 0.000 0.564
# Final energy ... -4.7664 eV per atom
# Magnetization ... 0.72 μB per formula unit
# Crystal system ... orthorhombic
# ΔE_f ... -0.822 eV per atom

(10)
# SmYHo, relaxed, DFT PBE
data_SmYHo
_chemical_formula_sum 'Sm2 Y2 Ho2'
_symmetry_space_group_name_H-M 'C 1 m 1'
_symmetry_Int_Tables_number 8
_cell_length_a 6.244
_cell_length_b 3.610
_cell_length_c 8.886
_cell_angle_alpha 90.00
_cell_angle_beta 103.68
_cell_angle_gamma 90.00
loop_
_symmetry_equiv_pos_as_xyz
'x,y,z'
'x,-y,z'
'x+1/2,y+1/2,z'
'x+1/2,-y+1/2,z'
loop_
_atom_site_label
_atom_site_type_symbol
_atom_site_fract_x
_atom_site_fract_y
_atom_site_fract_z
Sm1 Sm 0.000 0.000 0.000
Y1 Y 0.444 0.000 0.336
Ho1 Ho 0.221 0.000 0.665
# Final energy ... -5.2452 eV per atom
# Magnetization ... 0.00 μB per formula unit
# Crystal system ... monoclinic
# ΔE_f ... 0.008 eV per atom